Entry 1:
# CsLaCl2F

A relaxed CsLaCl2F crystal (PBE-GGA, Alexandria via LeMat-Bulk).

Summary:
Formation energy without anion corrections, eV/atom: -2.38

Unit cell a=5.813 b=5.813 c=4.707 alpha=90.00 beta=90.00 gamma=90.00
Element x y z (fractional)
Cs (0.500, 0.500, 0.500)
F (0.000, 0.000, 0.500)
Cl (0.000, 0.500, 0.000)
Cl (0.500, 0.000, 0.000)
La (0.000, 0.000, 0.000)


Entry 2:
# Hg3PdI

A relaxed Hg3PdI crystal (PBE-GGA, Alexandria via LeMat-Bulk).

Summary:
Formation energy without anion corrections, eV/atom: -0.04

Unit cell a=5.342 b=5.342 c=5.342 alpha=90.00 beta=90.00 gamma=90.00
Element x y z (fractional)
I (0.500, 0.500, 0.500)
Hg (0.000, 0.500, 0.000)
Hg (0.000, 0.000, 0.500)
Hg (0.500, 0.000, 0.000)
Pd (0.000, 0.000, 0.000)


Entry 3:
# SrZnCdGe2

A relaxed SrZnCdGe2 crystal (PBE-GGA, Alexandria via LeMat-Bulk).

Summary:
Energy of formation, eV/atom: -0.314

Unit cell a=4.531 b=4.531 c=6.435 alpha=110.61 beta=110.61 gamma=90.00
Element x y z (fractional)
Sr (0.000, 0.000, 0.000)
Zn (0.250, 0.750, 0.500)
Cd (0.750, 0.250, 0.500)
Ge (0.614, 0.614, 0.228)
Ge (0.386, 0.386, 0.772)


Entry 4:
# Er2Zr2N3

A relaxed Er2Zr2N3 crystal (PBE-GGA, Alexandria via LeMat-Bulk).

Summary:
Formation energy without anion corrections, eV/atom: -1.51

Unit cell a=5.927 b=5.927 c=5.751 alpha=76.43 beta=76.43 gamma=33.15
Element x y z (fractional)
Er (0.378, 0.378, 0.863)
Er (0.622, 0.622, 0.137)
Zr (0.139, 0.139, 0.644)
Zr (0.861, 0.861, 0.356)
N (0.000, 0.000, 0.000)
N (0.250, 0.250, 0.253)
N (0.750, 0.750, 0.747)


Entry 5:
# CdSeBr2N

A relaxed CdSeBr2N crystal (PBE-GGA, Alexandria via LeMat-Bulk).

Summary:
Formation energy without anion corrections, eV/atom: 1.04

Unit cell a=5.567 b=5.567 c=5.500 alpha=90.00 beta=90.00 gamma=90.00
Element x y z (fractional)
N (0.500, 0.500, 0.500)
Se (0.000, 0.000, 0.500)
Br (0.000, 0.500, 0.000)
Br (0.500, 0.000, 0.000)
Cd (0.000, 0.000, 0.000)


Entry 6:
# Ac2SmMoN4

A relaxed Ac2SmMoN4 crystal (PBE-GGA, Alexandria via LeMat-Bulk).

Summary:
Formation energy without anion corrections, eV/atom: -0.75

Unit cell a=3.612 b=6.586 c=12.849 alpha=90.00 beta=90.00 gamma=105.92
Element x y z (fractional)
Ac (0.367, 0.734, 0.538)
Ac (0.633, 0.266, 0.038)
Ac (0.633, 0.266, 0.462)
Ac (0.367, 0.734, 0.962)
Sm (0.129, 0.258, 0.750)
Sm (0.871, 0.742, 0.250)
Mo (0.844, 0.688, 0.750)
Mo (0.156, 0.312, 0.250)
N (0.276, 0.551, 0.146)
N (0.724, 0.449, 0.646)
N (0.724, 0.449, 0.854)
N (0.276, 0.551, 0.354)
N (0.000, 0.000, 0.500)
N (0.000, 0.000, 0.000)
N (0.413, 0.827, 0.750)
N (0.587, 0.173, 0.250)


Entry 7:
# LuNpIr2

A relaxed LuNpIr2 crystal (PBE-GGA, Alexandria via LeMat-Bulk).

Summary:
Energy of formation, eV/atom: -0.570

Unit cell a=4.796 b=4.796 c=4.796 alpha=60.00 beta=60.00 gamma=60.00
Element x y z (fractional)
Np (0.000, 0.000, 0.000)
Ir (0.250, 0.250, 0.250)
Ir (0.750, 0.750, 0.750)
Lu (0.500, 0.500, 0.500)


Entry 8:
# TlPt3Rh

A relaxed TlPt3Rh crystal (PBE-GGA, Alexandria via LeMat-Bulk).

Summary:
Energy of formation, eV/atom: 1.018

Unit cell a=4.883 b=4.883 c=4.883 alpha=90.00 beta=90.00 gamma=90.00
Element x y z (fractional)
Tl (0.500, 0.500, 0.500)
Rh (0.000, 0.000, 0.000)
Pt (0.000, 0.500, 0.000)
Pt (0.000, 0.000, 0.500)
Pt (0.500, 0.000, 0.000)


Entry 9:
# ScGaBi3

A relaxed ScGaBi3 crystal (PBE-GGA, Alexandria via LeMat-Bulk).

Summary:
Energy of formation, eV/atom: 0.206

Unit cell a=5.625 b=5.625 c=5.625 alpha=90.00 beta=90.00 gamma=90.00
Element x y z (fractional)
Sc (0.000, 0.000, 0.000)
Bi (0.000, 0.500, 0.000)
Bi (0.000, 0.000, 0.500)
Bi (0.500, 0.000, 0.000)
Ga (0.500, 0.500, 0.500)


Entry 10:
# ZrTcSnOs2

A relaxed ZrTcSnOs2 crystal (PBE-GGA, Alexandria via LeMat-Bulk).

Summary:
Energy of formation, eV/atom: 1.265

Unit cell a=4.697 b=4.913 c=4.697 alpha=90.00 beta=90.00 gamma=90.00
Element x y z (fractional)
Os (0.000, 0.000, 0.500)
Os (0.500, 0.000, 0.000)
Sn (0.000, 0.500, 0.000)
Zr (0.500, 0.500, 0.500)
Tc (0.000, 0.000, 0.000)


Entry 11:
# CaYAsSe

A relaxed CaYAsSe crystal (PBE-GGA, Alexandria via LeMat-Bulk).

Summary:
Formation energy without anion corrections, eV/atom: -1.71

Unit cell a=4.174 b=4.174 c=7.291 alpha=73.37 beta=73.37 gamma=60.00
Element x y z (fractional)
Ca (0.503, 0.503, 0.490)
Y (0.995, 0.995, 0.014)
As (0.254, 0.254, 0.238)
Se (0.748, 0.748, 0.757)


Entry 12:
# LaTlIn

A relaxed LaTlIn crystal (PBE-GGA, Alexandria via LeMat-Bulk).

Summary:
Energy of formation, eV/atom: -0.340

Unit cell a=6.763 b=6.763 c=5.673 alpha=90.00 beta=90.00 gamma=136.63
Element x y z (fractional)
In (0.920, 0.080, 0.750)
In (0.080, 0.920, 0.250)
Tl (0.267, 0.733, 0.750)
Tl (0.733, 0.267, 0.250)
La (0.398, 0.602, 0.250)
La (0.602, 0.398, 0.750)


Entry 13:
# Sr3Ir2N4

A relaxed Sr3Ir2N4 crystal (PBE-GGA, Alexandria via LeMat-Bulk).

Summary:
Formation energy without anion corrections, eV/atom: -0.17

Unit cell a=7.379 b=7.379 c=5.582 alpha=87.97 beta=87.97 gamma=78.82
Element x y z (fractional)
Sr (0.034, 0.726, 0.556)
Sr (0.274, 0.966, 0.944)
Sr (0.966, 0.274, 0.444)
Sr (0.726, 0.034, 0.056)
Sr (0.407, 0.593, 0.250)
Sr (0.593, 0.407, 0.750)
Ir (0.850, 0.619, 0.085)
Ir (0.381, 0.150, 0.415)
Ir (0.150, 0.381, 0.915)
Ir (0.619, 0.850, 0.585)
N (0.070, 0.714, 0.040)
N (0.286, 0.930, 0.460)
N (0.930, 0.286, 0.960)
N (0.714, 0.070, 0.540)
N (0.731, 0.604, 0.424)
N (0.396, 0.269, 0.076)
N (0.269, 0.396, 0.576)
N (0.604, 0.731, 0.924)


Entry 14:
# ReSi2Pb

A relaxed ReSi2Pb crystal (PBE-GGA, Alexandria via LeMat-Bulk).

Summary:
Formation energy without anion corrections, eV/atom: 0.33

Unit cell a=4.466 b=4.466 c=5.868 alpha=84.69 beta=84.69 gamma=43.80
Element x y z (fractional)
Pb (0.517, 0.517, 0.483)
Re (0.258, 0.258, 0.119)
Si (0.973, 0.973, 0.078)
Si (0.751, 0.751, 0.821)


Entry 15:
# SmDy3Au

A relaxed SmDy3Au crystal (PBE-GGA, Alexandria via LeMat-Bulk).

Summary:
Energy of formation, eV/atom: -0.264

Unit cell a=5.188 b=6.737 c=8.453 alpha=89.99 beta=90.00 gamma=90.00
Element x y z (fractional)
Sm (0.376, 0.256, 0.701)
Sm (0.876, 0.097, 0.201)
Dy (0.376, 0.403, 0.201)
Dy (0.376, 0.882, 0.999)
Dy (0.876, 0.471, 0.499)
Dy (0.876, 0.950, 0.701)
Dy (0.876, 0.471, 0.902)
Dy (0.376, 0.882, 0.402)
Au (0.376, 0.686, 0.701)
Au (0.876, 0.667, 0.201)


Entry 16:
# Ta4Nb2Pd

A relaxed Ta4Nb2Pd crystal (PBE-GGA, Alexandria via LeMat-Bulk).

Summary:
Energy of formation, eV/atom: 1.341

Unit cell a=4.790 b=4.790 c=7.515 alpha=71.42 beta=71.42 gamma=90.00
Element x y z (fractional)
Nb (0.385, 0.385, 0.229)
Nb (0.615, 0.615, 0.771)
Pd (0.000, 0.000, 0.000)
Ta (0.193, 0.193, 0.613)
Ta (0.807, 0.807, 0.387)
Ta (0.000, 0.500, 0.000)
Ta (0.500, 0.000, 0.000)


Entry 17:
# Sc2Tl2Bi

A relaxed Sc2Tl2Bi crystal (PBE-GGA, Alexandria via LeMat-Bulk).

Summary:
Energy of formation, eV/atom: -0.142

Unit cell a=8.403 b=8.403 c=3.693 alpha=90.00 beta=90.00 gamma=90.00
Element x y z (fractional)
Sc (0.175, 0.675, 0.500)
Sc (0.675, 0.825, 0.500)
Sc (0.825, 0.325, 0.500)
Sc (0.325, 0.175, 0.500)
Tl (0.372, 0.872, 0.000)
Tl (0.872, 0.628, 0.000)
Tl (0.628, 0.128, 0.000)
Tl (0.128, 0.372, 0.000)
Bi (0.000, 0.000, 0.000)
Bi (0.500, 0.500, 0.000)


Entry 18:
# Sr2BeRe

A relaxed Sr2BeRe crystal (PBE-GGA, Alexandria via LeMat-Bulk).

Summary:
Energy of formation, eV/atom: 1.294

Unit cell a=3.751 b=3.751 c=9.646 alpha=84.89 beta=84.89 gamma=46.44
Element x y z (fractional)
Re (0.750, 0.750, 0.750)
Be (0.250, 0.250, 0.250)
Sr (0.000, 0.000, 0.996)
Sr (0.500, 0.500, 0.504)


Entry 19:
# Ac4Co2Cu

A relaxed Ac4Co2Cu crystal (PBE-GGA, Alexandria via LeMat-Bulk).

Summary:
Energy of formation, eV/atom: -0.006

Unit cell a=7.623 b=7.623 c=7.964 alpha=105.72 beta=105.73 gamma=70.64
Element x y z (fractional)
Ac (0.118, 0.119, 0.830)
Ac (0.624, 0.624, 0.347)
Ac (0.131, 0.131, 0.357)
Ac (0.609, 0.153, 0.962)
Ac (0.153, 0.609, 0.962)
Ac (0.622, 0.621, 0.833)
Ac (0.163, 0.630, 0.473)
Ac (0.630, 0.163, 0.473)
Co (0.337, 0.337, 0.692)
Co (0.347, 0.347, 0.197)
Co (0.922, 0.425, 0.620)
Co (0.425, 0.922, 0.620)
Cu (0.843, 0.843, 0.193)
Cu (0.826, 0.826, 0.691)


Entry 20:
# Sc3GaSb

A relaxed Sc3GaSb crystal (PBE-GGA, Alexandria via LeMat-Bulk).

Summary:
Formation energy without anion corrections, eV/atom: -0.27

Unit cell a=5.022 b=5.022 c=5.022 alpha=90.00 beta=90.00 gamma=90.00
Element x y z (fractional)
Sc (0.000, 0.500, 0.000)
Sc (0.000, 0.000, 0.500)
Sc (0.500, 0.000, 0.000)
Sb (0.500, 0.500, 0.500)
Ga (0.000, 0.000, 0.000)


Entry 21:
# GdBiAu

A relaxed GdBiAu crystal (PBE-GGA, Alexandria via LeMat-Bulk).

Summary:
Energy of formation, eV/atom: -0.639

Unit cell a=4.329 b=4.668 c=4.668 alpha=120.00 beta=90.00 gamma=90.00
Element x y z (fractional)
Gd (0.712, 0.667, 0.333)
Au (0.023, 0.000, 0.000)
Bi (0.265, 0.333, 0.667)


Entry 22:
# KTaTe

A relaxed KTaTe crystal (PBE-GGA, Alexandria via LeMat-Bulk).

Summary:
Formation energy without anion corrections, eV/atom: 0.50

Unit cell a=8.377 b=8.164 c=3.310 alpha=82.10 beta=74.86 gamma=23.04
Element x y z (fractional)
K (0.000, 0.000, 0.000)
Ta (0.688, 0.688, 0.312)
Te (0.311, 0.311, 0.689)


Entry 23:
# LaPmRu

A relaxed LaPmRu crystal (PBE-GGA, Alexandria via LeMat-Bulk).

Summary:
Energy of formation, eV/atom: -0.224

Unit cell a=4.547 b=5.336 c=7.206 alpha=90.15 beta=90.00 gamma=90.00
Element x y z (fractional)
La (0.250, 0.750, 0.567)
La (0.750, 0.250, 0.433)
Pm (0.750, 0.250, 0.944)
Pm (0.250, 0.750, 0.056)
Ru (0.750, 0.749, 0.757)
Ru (0.250, 0.251, 0.243)


Entry 24:
# Dy2Be4GaIr3

A relaxed Dy2Be4GaIr3 crystal (PBE-GGA, Alexandria via LeMat-Bulk).

Summary:
Energy of formation, eV/atom: -0.583

Unit cell a=3.855 b=3.855 c=10.068 alpha=90.00 beta=90.00 gamma=90.00
Element x y z (fractional)
Dy (0.500, 0.000, 0.242)
Dy (0.000, 0.500, 0.758)
Be (0.500, 0.500, 0.000)
Be (0.000, 0.000, 0.000)
Be (0.500, 0.000, 0.639)
Be (0.000, 0.500, 0.361)
Ga (0.500, 0.500, 0.500)
Ir (0.000, 0.000, 0.500)
Ir (0.500, 0.000, 0.873)
Ir (0.000, 0.500, 0.127)


Entry 25:
# ThCuHgI6

A relaxed ThCuHgI6 crystal (PBE-GGA, Alexandria via LeMat-Bulk).

Summary:
Formation energy without anion corrections, eV/atom: -0.70

Unit cell a=8.336 b=7.904 c=8.269 alpha=108.09 beta=103.11 gamma=61.78
Element x y z (fractional)
Th (0.382, 0.306, 0.525)
Cu (0.450, 0.841, 0.437)
Hg (0.084, 0.975, 0.995)
I (0.020, 0.308, 0.306)
I (0.362, 0.048, 0.730)
I (0.671, 0.384, 0.780)
I (0.043, 0.670, 0.686)
I (0.397, 0.535, 0.285)
I (0.591, 0.933, 0.256)


Entry 26:
# NaFeAg2

A relaxed NaFeAg2 crystal (PBE-GGA, Alexandria via LeMat-Bulk).

Summary:
Energy of formation, eV/atom: 0.709

Unit cell a=4.060 b=4.060 c=9.976 alpha=78.26 beta=78.26 gamma=90.00
Element x y z (fractional)
Na (0.500, 0.500, 0.000)
Na (0.250, 0.750, 0.500)
Fe (0.000, 0.000, 0.000)
Fe (0.750, 0.250, 0.500)
Ag (0.638, 0.125, 0.250)
Ag (0.112, 0.625, 0.250)
Ag (0.375, 0.362, 0.750)
Ag (0.875, 0.888, 0.750)